Entry 1:
HgO2F2: optimized geometry, GGA-PBE.

POSCAR file:
```
HgO2F2
1.0
-3.808 -3.117 2.020
-0.164 -2.791 -4.618
6.274 -5.611 3.168
Hg O F
4 8 8
direct
0.750 0.759 0.000
0.250 0.241 0.000
0.750 0.259 0.500
0.250 0.741 0.500
0.414 0.392 0.367
0.414 0.892 0.133
0.914 0.608 0.367
0.586 0.608 0.633
0.086 0.392 0.633
0.086 0.892 0.867
0.586 0.108 0.867
0.914 0.108 0.133
0.386 0.109 0.635
0.386 0.609 0.865
0.614 0.391 0.135
0.886 0.391 0.865
0.114 0.109 0.365
0.614 0.891 0.365
0.114 0.609 0.135
0.886 0.891 0.635
```

Computed properties:
- Formation energy (no corrections): 4.78 kcal/mol of atoms
- Crystal system: orthorhombic
- Calculated volume: 12.91 Å³ per atom

=====

Entry 2:
Hg3O2F: optimized geometry, GGA-PBE.

POSCAR file:
```
Hg3O2F
1.0
-4.125 -0.622 1.092
1.082 -2.024 2.932
0.321 11.054 7.512
O Hg F
4 6 2
direct
0.532 0.500 0.154
0.468 0.000 0.654
0.468 0.000 0.346
0.532 0.500 0.846
0.481 0.500 0.000
0.819 0.000 0.194
0.181 0.500 0.306
0.819 0.000 0.806
0.519 0.000 0.500
0.181 0.500 0.694
0.018 0.500 0.500
0.982 0.000 0.000
```

Computed properties:
- Formation energy (no corrections): -11.69 kcal/mol of atoms
- Energy above the lowest structure with this stoichiometry: 0.000 eV per atom
- Crystal system: orthorhombic
- Calculated volume: 17.89 Å³ per atom

=====

Size of the total moment values, unit μB per atom, following the record order: 0.800, 0.000.